# 1
Tc2TeOs | SCAN | PBEsol geometry

abc: 2.826 2.826 9.351
angles: 90.00 90.00 118.20
Atoms (fractional coordinates):
Tc: 0.500 0.500 0.774
Te: 0.000 0.000 0.503
Os: 0.500 0.500 0.226
Tc: 0.000 0.000 0.997

=====

# 2
Zr3Al | SCAN | PBEsol geometry

abc: 4.324 4.324 4.324
angles: 90.00 90.00 90.00
Atoms (fractional coordinates):
Zr: 0.000 0.500 0.500
Zr: 0.500 0.500 0.000
Zr: 0.500 0.000 0.500
Al: 0.000 0.000 0.000

Calculated values
As for the energy relative to the elements: -0.31 eV/atom.

=====

# 3
La4Al | SCAN | PBEsol geometry

abc: 4.214 4.214 9.822
angles: 102.39 102.39 90.00
Atoms (fractional coordinates):
La: 0.750 0.250 0.500
La: 0.579 0.579 0.158
La: 0.421 0.421 0.842
La: 0.250 0.750 0.500
Al: 0.000 0.000 0.000

Calculated values
As for the energy relative to the elements: 0.26 eV/atom.

=====

Total energy (computed, eV/atom): -43.91; -25.27; -35.77
Total moment (computed, μB per cell): 0.00; 0.00; 0.16